Cd2RuBr | GGA-PBE | relaxed

Values from the calculation:
DOS at the Fermi energy: 3.54 states/eV/cell
ΔE to the lowest computed polymorph: 380 meV/atom
Uncorrected energy: -0.097 hartree per atom
Raw formation energy: 546 meV/atom

a = 3.2875 Å, b = 4.7149 Å, c = 5.0937 Å
α = 90.00°, β = 90.00°, γ = 90.00°
Atoms (fractional coordinates):
Cd1 0.0000 0.0000 0.0000
Br1 0.0000 0.5000 0.5000
Ru1 0.5000 0.0000 0.5000
Cd2 0.5000 0.5000 0.0000